# 1
CrHgOs2 | GGA-PBE | optimized geometry

Summary:
- total energy (eV per atom) = -7.576
- density (g/cm3) = 17.112
- N(E_F) (states/eV per cell) = 10.91

CIF file:
```
data_CrHgOs2
_chemical_formula_sum 'Cr3 Hg3 Os6'
_space_group_name_H-M_alt 'R 3 m'
_space_group_IT_number 160
_space_group_name_Hall 'R 3 -2"'
_cell_length_a 2.7834
_cell_length_b 2.7834
_cell_length_c 27.4672
_cell_angle_alpha 90.00
_cell_angle_beta 90.00
_cell_angle_gamma 120.00
loop_
_atom_site_label
_atom_site_fract_x
_atom_site_fract_y
_atom_site_fract_z
Cr1 0.0000 0.0000 0.0000
Hg1 0.0000 0.0000 0.7546
Os1 0.0000 0.0000 0.2594
Os2 0.0000 0.0000 0.5145
```


# 2
CrHgOs2 | GGA-PBE | optimized geometry

Summary:
- total energy (eV per atom) = -7.565
- density (g/cm3) = 17.027
- N(E_F) (states/eV per cell) = 6.74

CIF file:
```
data_CrHgOs2
_chemical_formula_sum 'Cr2 Hg2 Os4'
_space_group_name_H-M_alt 'C 1 2/m 1'
_space_group_IT_number 12
_cell_length_a 9.3810
_cell_length_b 2.8147
_cell_length_c 4.8132
_cell_angle_alpha 90.00
_cell_angle_beta 103.70
_cell_angle_gamma 90.00
loop_
_space_group_symop_operation_xyz
'x,y,z'
'-x,-y,-z'
'-x,y,-z'
'x,-y,z'
'x+1/2,y+1/2,z'
'-x+1/2,-y+1/2,-z'
'-x+1/2,y+1/2,-z'
'x+1/2,-y+1/2,z'
loop_
_atom_site_label
_atom_site_fract_x
_atom_site_fract_y
_atom_site_fract_z
Cr1 0.0000 0.0000 0.0000
Hg1 0.0000 0.5000 0.5000
Os1 0.2252 0.5000 0.2142
```